DyTlW2O8: relaxed, PBE with a Hubbard U.

total energy	-176.41	eV for the cell shown
N(E_F)	0.000	states/eV/cell

Lattice parameters (Å, degrees): 7.6842 7.6842 7.4857 117.76 117.76 88.26
Positions (direct):
Dy 0.2236 0.7764 0.7500
Dy 0.7764 0.2236 0.2500
Tl 0.2112 0.7888 0.2500
Tl 0.7888 0.2112 0.7500
W 0.3000 0.3093 0.7858
W 0.3093 0.3000 0.2858
W 0.6907 0.7000 0.7142
W 0.7000 0.6907 0.2142
O 0.0434 0.2305 0.1958
O 0.0577 0.3621 0.6212
O 0.2305 0.0434 0.6958
O 0.2484 0.3772 0.0593
O 0.3621 0.0577 0.1212
O 0.3735 0.5935 0.5369
O 0.3772 0.2484 0.5593
O 0.4065 0.6265 0.9631
O 0.5935 0.3735 0.0369
O 0.6228 0.7516 0.4407
O 0.6265 0.4065 0.4631
O 0.6379 0.9423 0.8788
O 0.7516 0.6228 0.9407
O 0.7695 0.9566 0.3042
O 0.9423 0.6379 0.3788
O 0.9566 0.7695 0.8042